VASP calculation (PBE-GGA) on a relaxed LiPrTlPb crystal.

Cell lengths 4.5943, 4.7711, 4.9112 Å; angles 90.00, 90.00, 90.00 degrees
Last column: nearest neighbours and their distance in Å.
Element x y z (fractional)
Li 0.0000 0.0000 0.0000  4 Tl 3.31, 4 Pb 3.36, 4 Pr 3.42
Pr 0.0000 0.5000 0.5000  4 Pb 3.31, 4 Tl 3.36, 4 Li 3.42
Tl 0.5000 0.5000 0.0000  4 Li 3.31, 4 Pr 3.36, 4 Pb 3.42
Pb 0.5000 0.0000 0.5000  4 Pr 3.31, 4 Li 3.36, 4 Tl 3.42

Values from the calculation:
- ΔE_f (kJ per mole of atoms) = -37.0
- volume (A^3/atom) = 26.91
- total moment (μB per cell) = 0.0
- offset from the most stable computed form (eV/atom) = 0.000